La2Tc: relaxed, PBE-GGA.

Properties
As for the density of states at the Fermi level: 0.8208 states/eV per atom. Its formation energy is 0.16 eV per atom. Its offset from the most stable computed form is 12.05 kJ/mol of atoms. As for the space group: P-3m1.

a = 4.8437 Å, b = 4.8437 Å, c = 3.7810 Å
α = 90.00°, β = 90.00°, γ = 120.00°
Last column: nearest neighbours and their distance in Å.
Fractional coordinates of all 3 atoms:
La1 0.3333 0.6667 0.2783  3 Tc 2.99, 3 La 3.26
La2 0.6667 0.3333 0.7217  3 Tc 2.99, 3 La 3.26
Tc1 0.0000 0.0000 0.0000  6 La 2.99